--- w ---
Here is a relaxed ErZn2Pd2 crystal from Alexandria. Energies are from PBE-GGA.

The space group is P2_1/m (No. 11) and the conventional cell measures 4.863, 4.621 and 8.090 Å, with angles of 90.00, 101.76 and 90.00 degrees. The inequivalent atoms are Er at (0.212, 0.250, 0.270), Zn at (0.344, 0.250, 0.652), Zn at (0.363, 0.750, 0.999), Pd at (0.099, 0.250, 0.901) and Pd at (0.202, 0.750, 0.494).

--- x ---
Here is a relaxed ErZn2Pd2 crystal from Alexandria. Energies are from PBE-GGA.

The space group is C2/c (No. 15) and the conventional cell measures 4.994, 9.167 and 8.754 Å, with angles of 90.00, 106.37 and 90.00 degrees. The inequivalent atoms are Er at (0.000, 0.125, 0.250), Zn at (0.123, 0.375, 0.997), Pd at (0.000, 0.206, 0.750) and Pd at (0.000, 0.457, 0.250).

Energy comparison, zero being the most stable, in meV/atom: w 0; x 72.

--- w ---
Here is a relaxed ErZrPd4 crystal from Alexandria. Energies are from PBE-GGA.

The space group is Cmcm (No. 63) and the conventional cell measures 4.151, 12.839 and 8.072 Å, with angles of 90.00, 90.00 and 90.00 degrees. The inequivalent atoms are Er at (0.000, 0.016, 0.250), Zr at (0.000, 0.309, 0.250), Pd at (0.000, 0.166, 0.516), Pd at (0.000, 0.334, 0.750) and Pd at (0.000, 0.500, 0.000).

--- x ---
Here is a relaxed ErZrPd4 crystal from Alexandria. Energies are from PBE-GGA.

The space group is P4/mmm (No. 123) and the conventional cell measures 3.917, 3.917 and 8.136 Å, with angles of 90.00, 90.00 and 90.00 degrees. The inequivalent atoms are Er at (0.000, 0.000, 0.000), Zr at (0.500, 0.500, 0.500) and Pd at (0.000, 0.500, 0.262).

Energy comparison, zero being the most stable, in meV/atom: w 0; x 288.

--- w ---
Here is a relaxed Pm3Er crystal from Alexandria. Energies are from PBE-GGA.

The space group is I4/mmm (No. 139) and the conventional cell measures 5.112, 5.112 and 10.220 Å, with angles of 90.00, 90.00 and 90.00 degrees. The inequivalent atoms are Pm at (0.000, 0.000, 0.000), Pm at (0.000, 0.500, 0.250) and Er at (0.000, 0.000, 0.500).

--- x ---
Here is a relaxed Pm3Er crystal from Alexandria. Energies are from PBE-GGA.

The space group is Pmm2 (No. 25) and the conventional cell measures 3.666, 5.816 and 6.335 Å, with angles of 90.00, 90.00 and 90.00 degrees. The inequivalent atoms are Pm at (0.000, 0.000, 0.000), Pm at (0.000, 0.500, 0.334), Pm at (0.500, 0.500, 0.834) and Er at (0.500, 0.000, 0.502).

--- y ---
Here is a relaxed Pm3Er crystal from Alexandria. Energies are from PBE-GGA.

The space group is Fm-3m (No. 225) and the conventional cell measures 8.133, 8.133 and 8.133 Å, with angles of 90.00, 90.00 and 90.00 degrees. The inequivalent atoms are Pm at (0.000, 0.000, 0.000), Pm at (0.250, 0.250, 0.250) and Er at (0.000, 0.000, 0.500).

Energy comparison, zero being the most stable, in meV/atom: w 0; x 15; y 121.

--- w ---
Here is a relaxed Pm3Er crystal from Alexandria. Energies are from PBE-GGA.

The space group is Pm-3m (No. 221) and the conventional cell measures 5.109, 5.109 and 5.109 Å, with angles of 90.00, 90.00 and 90.00 degrees. The inequivalent atoms are Pm at (0.000, 0.000, 0.500) and Er at (0.500, 0.500, 0.500).

--- x ---
Here is a relaxed Pm3Er crystal from Alexandria. Energies are from PBE-GGA.

The space group is Cmmm (No. 65) and the conventional cell measures 5.775, 9.932 and 5.900 Å, with angles of 90.00, 90.00 and 90.00 degrees. The inequivalent atoms are Pm at (0.000, 0.000, 0.000), Pm at (0.000, 0.333, 0.500) and Er at (0.000, 0.000, 0.500).

--- y ---
Here is a relaxed Pm3Er crystal from Alexandria. Energies are from PBE-GGA.

The space group is P6_3/mmc (No. 194) and the conventional cell measures 7.3307, 7.3307 and 5.8029 Å, with angles of 90.00, 90.00 and 120.00 degrees. The inequivalent atoms are Pm at (0.1675, 0.3350, 0.2500) and Er at (0.3333, 0.6667, 0.7500).

Energy comparison, zero being the most stable, in meV/atom: w 0; x 702; y 5.

--- w ---
Here is a relaxed Pm2Er crystal from Alexandria. Energies are from PBE-GGA.

The space group is C2/m (No. 12) and the conventional cell measures 6.271, 3.623 and 9.002 Å, with angles of 90.00, 103.49 and 90.00 degrees. The inequivalent atoms are Pm at (0.224, 0.000, 0.172) and Er at (0.000, 0.000, 0.500).

--- x ---
Here is a relaxed Pm2Er crystal from Alexandria. Energies are from PBE-GGA.

The space group is Fd-3m (No. 227, origin choice 2) and the conventional cell measures 9.378, 9.378 and 9.378 Å, with angles of 90.00, 90.00 and 90.00 degrees. The inequivalent atoms are Pm at (0.000, 0.000, 0.000) and Er at (0.125, 0.125, 0.625).

--- y ---
Here is a relaxed Pm2Er crystal from Alexandria. Energies are from PBE-GGA.

The space group is I4_1/amd (No. 141, origin choice 2) and the conventional cell measures 3.496, 3.496 and 33.169 Å, with angles of 90.00, 90.00 and 90.00 degrees. The inequivalent atoms are Pm at (0.000, 0.250, 0.297) and Er at (0.000, 0.250, 0.875).

Energy comparison, zero being the most stable, in meV/atom: w 0; x 240; y 116.

--- w ---
Here is a relaxed Pm4Er crystal from Alexandria. Energies are from PBE-GGA.

The space group is I4/mmm (No. 139) and the conventional cell measures 3.624, 3.624 and 25.602 Å, with angles of 90.00, 90.00 and 90.00 degrees. The inequivalent atoms are Pm at (0.000, 0.000, 0.098), Pm at (0.000, 0.000, 0.301) and Er at (0.000, 0.000, 0.500).

--- x ---
Here is a relaxed Pm4Er crystal from Alexandria. Energies are from PBE-GGA.

The space group is C2/m (No. 12) and the conventional cell measures 6.275, 3.621 and 14.884 Å, with angles of 90.00, 98.02 and 90.00 degrees. The inequivalent atoms are Pm at (0.101, 0.000, 0.304), Pm at (0.201, 0.500, 0.101) and Er at (0.000, 0.500, 0.500).

Energy comparison, zero being the most stable, in meV/atom: w 5; x 0.

--- w ---
Here is a relaxed PmEr4 crystal from Alexandria. Energies are from PBE-GGA.

The space group is I4/mmm (No. 139) and the conventional cell measures 3.528, 3.528 and 25.077 Å, with angles of 90.00, 90.00 and 90.00 degrees. The inequivalent atoms are Pm at (0.000, 0.000, 0.000), Er at (0.000, 0.000, 0.201) and Er at (0.000, 0.000, 0.398).

--- x ---
Here is a relaxed PmEr4 crystal from Alexandria. Energies are from PBE-GGA.

The space group is Pm-3m (No. 221) and the conventional cell measures 5.583, 5.583 and 5.583 Å, with angles of 90.00, 90.00 and 90.00 degrees. The inequivalent atoms are Pm at (0.000, 0.000, 0.000), Er at (0.000, 0.000, 0.500) and Er at (0.500, 0.500, 0.500).

Energy comparison, zero being the most stable, in meV/atom: w 0; x 690.

--- w ---
Here is a relaxed Pm5Er2 crystal from Alexandria. Energies are from PBE-GGA.

The space group is C2/c (No. 15) and the conventional cell measures 15.978, 6.339 and 9.340 Å, with angles of 90.00, 95.20 and 90.00 degrees. The inequivalent atoms are Pm at (0.000, 0.168, 0.250), Pm at (0.141, 0.169, 0.964), Pm at (0.215, 0.335, 0.321) and Er at (0.070, 0.335, 0.607).

--- x ---
Here is a relaxed Pm5Er2 crystal from Alexandria. Energies are from PBE-GGA.

The space group is C2/m (No. 12) and the conventional cell measures 11.845, 3.528 and 11.690 Å, with angles of 90.00, 104.47 and 90.00 degrees. The inequivalent atoms are Pm at (0.000, 0.000, 0.000), Pm at (0.036, 0.500, 0.289), Pm at (0.235, 0.000, 0.864) and Er at (0.147, 0.000, 0.559).

Energy comparison, zero being the most stable, in meV/atom: w 0; x 86.

--- w ---
Here is a relaxed Pm6Er crystal from Alexandria. Energies are from PBE-GGA.

The space group is P4/nbm (No. 125, origin choice 2) and the conventional cell measures 6.574, 6.574 and 11.277 Å, with angles of 90.00, 90.00 and 90.00 degrees. The inequivalent atoms are Pm at (0.082, 0.582, 0.139), Pm at (0.250, 0.250, 0.363) and Er at (0.250, 0.750, 0.500).

--- x ---
Here is a relaxed Pm6Er crystal from Alexandria. Energies are from PBE-GGA.

The space group is Im-3m (No. 229) and the conventional cell measures 8.111, 8.111 and 8.111 Å, with angles of 90.00, 90.00 and 90.00 degrees. The inequivalent atoms are Pm at (0.000, 0.250, 0.500) and Er at (0.000, 0.000, 0.000).

Energy comparison, zero being the most stable, in meV/atom: w 0; x 1058.

--- w ---
Here is a relaxed Pm13Er3 crystal from Alexandria. Energies are from PBE-GGA.

The space group is Amm2 (No. 38) and the conventional cell measures 7.343, 11.653 and 12.703 Å, with angles of 90.00, 90.00 and 90.00 degrees. The inequivalent atoms are Pm at (0.000, 0.000, 0.000), Pm at (0.000, 0.000, 0.502), Pm at (0.000, 0.247, 0.669), Pm at (0.250, 0.000, 0.250), Pm at (0.251, 0.247, 0.918), Pm at (0.500, 0.000, 0.503), Pm at (0.500, 0.249, 0.668), Er at (0.251, 0.000, 0.753) and Er at (0.500, 0.000, 0.999).

--- x ---
Here is a relaxed Pm13Er3 crystal from Alexandria. Energies are from PBE-GGA.

The space group is Amm2 (No. 38) and the conventional cell measures 10.232, 10.247 and 10.253 Å, with angles of 90.00, 90.00 and 90.00 degrees. The inequivalent atoms are Pm at (0.000, 0.000, 0.000), Pm at (0.000, 0.000, 0.497), Pm at (0.000, 0.248, 0.249), Pm at (0.251, 0.000, 0.749), Pm at (0.251, 0.249, 0.998), Pm at (0.500, 0.000, 0.497), Pm at (0.500, 0.248, 0.248), Er at (0.251, 0.000, 0.247) and Er at (0.500, 0.000, 0.000).

Energy comparison, zero being the most stable, in meV/atom: w 14; x 0.